Density functional theory data (PBE-GGA) for crystalline Nd2InPb at its relaxed geometry.

a = 3.9609 Å, b = 3.9609 Å, c = 28.6189 Å
α = 90.00°, β = 90.00°, γ = 120.00°
Last column: nearest neighbours and their distance in Å.
Space group R-3m (No. 166, hexagonal axes)
Asymmetric unit:
Nd 0.0000 0.0000 0.2495  3 In 3.29, 3 Pb 3.32
In 0.0000 0.0000 0.5000  6 Nd 3.29
Pb 0.0000 0.0000 0.0000  6 Nd 3.32

## Properties
As for the formation energy: -337 meV per atom. The value obtained for the electronic total energy is -4.3328 eV/atom. The density comes out at 7822 kg/m3.

---

Density functional theory data (PBE-GGA) for crystalline NdInPb at its relaxed geometry.

a = 3.6733 Å, b = 17.7019 Å, c = 5.7065 Å
α = 90.00°, β = 90.00°, γ = 90.00°
Last column: nearest neighbours and their distance in Å.
Space group Cmcm (No. 63)
Asymmetric unit:
Nd 0.0000 0.1700 0.2500  5 Pb 3.25-3.42, 2 In 3.33
In 0.0000 0.0000 0.0000  2 In 2.85
Pb 0.0000 0.3536 0.2500  5 Nd 3.25-3.42, 4 In 3.48

## Properties
As for the formation energy: -260 meV per atom. The value obtained for the electronic total energy is -3.9979 eV/atom. The density comes out at 8346 kg/m3. For the offset from the most stable computed form, the calculation gives 153 meV/atom.

---

Density functional theory data (PBE-GGA) for crystalline Nd2In3Pb at its relaxed geometry.

a = 3.6147 Å, b = 5.1633 Å, c = 9.0252 Å
α = 90.00°, β = 90.00°, γ = 90.00°
Last column: nearest neighbours and their distance in Å.
Space group Pmm2 (No. 25)
Asymmetric unit:
Nd 0.0000 0.0000 0.0000  8 In 3.45-3.61, 4 Pb 3.50, 2 Nd 3.61
Nd 0.0000 0.5000 0.4897  10 In 3.42-3.48, 2 Pb 3.56, 2 Nd 3.61
In 0.5000 0.0000 0.3262  3 In 2.95
In 0.5000 0.0000 0.6533  1 In 2.95, 2 Pb 3.03
In 0.5000 0.5000 0.1679  2 In 2.95, 1 Pb 3.05
Pb 0.5000 0.5000 0.8300  3 In 3.03-3.05

## Properties
As for the formation energy: -403 meV per atom. The value obtained for the electronic total energy is -3.9792 eV/atom. The density comes out at 8282 kg/m3.